A plane-wave DFT calculation with PBE-GGA was carried out for La2TaW after structural relaxation.

Values from the calculation:
VASP energy   -7.676 eV per atom
Relative energy among the computed polymorphs   676 meV/atom
Energy of formation from the pure elements   989 meV per atom

Cell and atoms, written as CIF:
```
data_La2TaW
_chemical_formula_sum 'La8 Ta4 W4'
_space_group_name_H-M_alt 'F m -3 m'
_space_group_IT_number 225
_space_group_name_Hall '-F 4 2 3'
_cell_length_a 7.322
_cell_length_b 7.322
_cell_length_c 7.322
_cell_angle_alpha 90.00
_cell_angle_beta 90.00
_cell_angle_gamma 90.00
loop_
_atom_site_label
_atom_site_fract_x
_atom_site_fract_y
_atom_site_fract_z
_atom_site_occupancy
La1 0.250 0.250 0.250 1
Ta1 0.000 0.000 0.000 1
W1 0.000 0.000 0.500 1
```